! Cs2PbClF6 | Alexandria via LeMat-Bulk | PBE | optimized geometry; values from VASP
&SYSTEM
  ibrav = 0, nat = 10, ntyp = 4
/
ATOMIC_SPECIES
Pb 207.20 Pb.upf
Cs 132.91 Cs.upf
F 19.00 F.upf
Cl 35.45 Cl.upf
CELL_PARAMETERS angstrom
6.8652 0.0000 0.0000
0.0000 6.8652 0.0000
3.4326 3.4326 5.1222
ATOMIC_POSITIONS crystal
Pb 0.0000 0.0000 0.0000
Cs 0.7500 0.2500 0.5000
Cs 0.2500 0.7500 0.5000
F 0.2058 0.2058 0.5884
F 0.7942 0.7942 0.4116
F 0.2175 0.2175 0.0000
F 0.7825 0.7825 0.0000
F 0.7825 0.2175 0.0000
F 0.2175 0.7825 0.0000
Cl 0.5000 0.5000 0.0000
! V ... 241 Å³/f.u.
! Formation energy (no corrections) ... -20.3 eV per formula unit
! DOS at the Fermi energy ... 7.2 states/eV/f.u.
! Crystal system ... tetragonal
! Theoretical density ... 4281 kg/m3